No. 1
Density functional theory data (GGA-PBE) for a relaxed structure of Re3BP.

abc: 4.1103 4.1103 4.1103
angles: 90.00 90.00 90.00
Positions (direct):
Re (0.0000, 0.0000, 0.5000)
Re (0.0000, 0.5000, 0.0000)
Re (0.5000, 0.0000, 0.0000)
B (0.0000, 0.0000, 0.0000)
P (0.5000, 0.5000, 0.5000)

- SG: Pm-3m
- E above lowest polymorph: 0 meV per atom
- Density of states at the Fermi level: 8.56 states/eV/f.u.
- ΔH_f (0 K): 0.750 eV per atom
- VASP energy: -45.7 eV/cell

***

No. 2
Density functional theory data (GGA-PBE) for a relaxed structure of CuPt.

abc: 4.6976 4.4614 5.3560
angles: 90.00 90.00 90.00
Positions (direct):
Cu (0.0870, 0.2500, 0.1274)
Cu (0.4130, 0.7500, 0.6274)
Cu (0.5870, 0.2500, 0.3726)
Cu (0.9130, 0.7500, 0.8726)
Pt (0.0904, 0.2500, 0.6242)
Pt (0.4096, 0.7500, 0.1242)
Pt (0.5904, 0.2500, 0.8758)
Pt (0.9096, 0.7500, 0.3758)

- SG: Pnma
- Density of states at the Fermi level: 2.96 states/eV/f.u.
- ΔH_f (0 K): -0.089 eV per atom
- VASP energy: -41.3 eV/cell

***

No. 3
Density functional theory data (GGA-PBE) for a relaxed structure of K3BaTi.

abc: 6.7841 6.7841 6.7841
angles: 90.00 90.00 90.00
Positions (direct):
K (0.0000, 0.0000, 0.5000)
K (0.0000, 0.5000, 0.0000)
K (0.5000, 0.0000, 0.0000)
Ba (0.5000, 0.5000, 0.5000)
Ti (0.0000, 0.0000, 0.0000)

- SG: Pm-3m
- E above lowest polymorph: 0 meV per atom
- Density of states at the Fermi level: 5.09 states/eV/f.u.
- ΔH_f (0 K): 0.854 eV per atom
- VASP energy: -8.8 eV/cell

***

No. 4
Density functional theory data (GGA-PBE) for a relaxed structure of CsNbBr4.

abc: 8.9147 8.9147 6.9537
angles: 99.86 99.86 50.98
Positions (direct):
Cs (0.1923, 0.1923, 0.2188)
Cs (0.8077, 0.8077, 0.7812)
Nb (0.4731, 0.4731, 0.6841)
Nb (0.5269, 0.5269, 0.3159)
Br (0.1854, 0.6175, 0.3934)
Br (0.2742, 0.7258, 0.0000)
Br (0.3141, 0.3141, 0.7645)
Br (0.3825, 0.8146, 0.6066)
Br (0.6175, 0.1854, 0.3934)
Br (0.6859, 0.6859, 0.2355)
Br (0.7258, 0.2742, 0.0000)
Br (0.8146, 0.3825, 0.6066)

- SG: C2/m
- VASP energy: -48.9 eV/cell

***

No. 5
Density functional theory data (GGA-PBE) for a relaxed structure of PuInGe.

abc: 7.4467 7.4467 4.4349
angles: 90.00 90.00 120.00
Positions (direct):
Pu (0.0000, 0.6032, 0.0000)
Pu (0.3968, 0.3968, 0.0000)
Pu (0.6032, 0.0000, 0.0000)
In (0.0000, 0.2551, 0.5000)
In (0.2551, 0.0000, 0.5000)
In (0.7449, 0.7449, 0.5000)
Ge (0.0000, 0.0000, 0.0000)
Ge (0.3333, 0.6667, 0.5000)
Ge (0.6667, 0.3333, 0.5000)

- SG: P-62m
- E above lowest polymorph: 0 meV per atom
- Density of states at the Fermi level: 8.26 states/eV/f.u.
- ΔH_f (0 K): -0.266 eV per atom
- VASP energy: -67.5 eV/cell

***

No. 6
Density functional theory data (GGA-PBE) for a relaxed structure of TcBRu2.

abc: 2.7195 2.7195 6.5084
angles: 90.00 90.00 90.00
Positions (direct):
Tc (0.0000, 0.0000, 0.0000)
B (0.0000, 0.0000, 0.5000)
Ru (0.5000, 0.5000, 0.2995)
Ru (0.5000, 0.5000, 0.7005)

- SG: P4/mmm
- E above lowest polymorph: 0 meV per atom
- Density of states at the Fermi level: 3.69 states/eV/f.u.
- ΔH_f (0 K): -0.039 eV per atom
- VASP energy: -35.8 eV/cell

***

No. 7
Density functional theory data (GGA-PBE) for a relaxed structure of Tl2Zn2Ag.

abc: 6.9628 6.9628 4.7232
angles: 90.00 90.00 90.00
Positions (direct):
Tl (0.1793, 0.3207, 0.0000)
Tl (0.3207, 0.8207, 0.0000)
Tl (0.6793, 0.1793, 0.0000)
Tl (0.8207, 0.6793, 0.0000)
Zn (0.1341, 0.6341, 0.5000)
Zn (0.3659, 0.1341, 0.5000)
Zn (0.6341, 0.8659, 0.5000)
Zn (0.8659, 0.3659, 0.5000)
Ag (0.0000, 0.0000, 0.5000)
Ag (0.5000, 0.5000, 0.5000)

- SG: P4/mbm
- E above lowest polymorph: 0 meV per atom
- Density of states at the Fermi level: 2.26 states/eV/f.u.
- ΔH_f (0 K): 0.135 eV per atom
- VASP energy: -18.9 eV/cell

***

No. 8
Density functional theory data (GGA-PBE) for a relaxed structure of Pu4GeAu3.

abc: 3.1292 3.9395 15.0820
angles: 90.00 90.02 90.00
Positions (direct):
Pu (0.0014, 0.0000, 0.1275)
Pu (0.0010, 0.0000, 0.3845)
Pu (0.9990, 0.0000, 0.6155)
Pu (0.9986, 0.0000, 0.8725)
Ge (0.5000, 0.5000, 0.5000)
Au (0.4981, 0.5000, 0.7455)
Au (0.5000, 0.5000, 0.0000)
Au (0.5019, 0.5000, 0.2545)

- SG: P2/m
- Density of states at the Fermi level: 29.84 states/eV/f.u.
- ΔH_f (0 K): -0.416 eV per atom
- VASP energy: -75.1 eV/cell

***

No. 9
Density functional theory data (GGA-PBE) for a relaxed structure of Nd4CoI5.

abc: 10.1283 10.1283 9.1282
angles: 102.69 102.69 23.79
Positions (direct):
Nd (0.0005, 0.0005, 0.2990)
Nd (0.3573, 0.3573, 0.4248)
Nd (0.6427, 0.6427, 0.5752)
Nd (0.9995, 0.9995, 0.7010)
Co (0.5000, 0.5000, 0.5000)
I (0.1670, 0.1670, 0.8474)
I (0.1746, 0.1746, 0.3263)
I (0.5000, 0.5000, 0.0000)
I (0.8254, 0.8254, 0.6737)
I (0.8330, 0.8330, 0.1526)

- SG: C2/m
- Density of states at the Fermi level: 6.65 states/eV/f.u.
- VASP energy: -44.5 eV/cell

***

No. 10
Density functional theory data (GGA-PBE) for a relaxed structure of GaCuMo3.

abc: 4.5079 4.5079 4.5079
angles: 90.00 90.00 90.00
Positions (direct):
Ga (0.0000, 0.0000, 0.0000)
Cu (0.5000, 0.5000, 0.5000)
Mo (0.0000, 0.5000, 0.5000)
Mo (0.5000, 0.0000, 0.5000)
Mo (0.5000, 0.5000, 0.0000)

- SG: Pm-3m
- E above lowest polymorph: 0 meV per atom
- Density of states at the Fermi level: 5.23 states/eV/f.u.
- ΔH_f (0 K): 1.480 eV per atom
- VASP energy: -32.2 eV/cell

***

No. 11
Density functional theory data (GGA-PBE) for a relaxed structure of AcLaPr2Sm5.

abc: 10.2637 10.2637 10.2637
angles: 128.15 128.15 76.38
Positions (direct):
Ac (0.2500, 0.2500, 0.0000)
Ac (0.7500, 0.7500, 0.0000)
La (0.2500, 0.7500, 0.5000)
La (0.7500, 0.2500, 0.5000)
Pr (0.1196, 0.6196, 0.7392)
Pr (0.3804, 0.1196, 0.5000)
Pr (0.6196, 0.8804, 0.5000)
Pr (0.8804, 0.3804, 0.2608)
Sm (0.0000, 0.0000, 0.0000)
Sm (0.0695, 0.1645, 0.5000)
Sm (0.1645, 0.6645, 0.0950)
Sm (0.3355, 0.4305, 0.5000)
Sm (0.4305, 0.9305, 0.0950)
Sm (0.5000, 0.5000, 0.0000)
Sm (0.5695, 0.0695, 0.9050)
Sm (0.6645, 0.5695, 0.5000)
Sm (0.8355, 0.3355, 0.9050)
Sm (0.9305, 0.8355, 0.5000)

- SG: I4/mcm
- Density of states at the Fermi level: 11.19 states/eV/f.u.
- ΔH_f (0 K): 0.221 eV per atom
- VASP energy: -80.4 eV/cell

***

No. 12
Density functional theory data (GGA-PBE) for a relaxed structure of ScAlV.

abc: 10.1936 9.4778 5.2776
angles: 82.09 67.06 30.85
Positions (direct):
Sc (0.0387, 0.7113, 0.0387)
Sc (0.2887, 0.9613, 0.2887)
Sc (0.7113, 0.0387, 0.7113)
Sc (0.9613, 0.2887, 0.9613)
Al (0.2864, 0.2864, 0.4636)
Al (0.4636, 0.4636, 0.2864)
Al (0.5364, 0.5364, 0.7136)
Al (0.7136, 0.7136, 0.5364)
V (0.0043, 0.0043, 0.7457)
V (0.2543, 0.2543, 0.9957)
V (0.7457, 0.7457, 0.0043)
V (0.9957, 0.9957, 0.2543)

- SG: Fddd
- E above lowest polymorph: 370 meV per atom
- Density of states at the Fermi level: 3.33 states/eV/f.u.
- ΔH_f (0 K): 0.122 eV per atom
- VASP energy: -75.3 eV/cell

***

No. 13
Density functional theory data (GGA-PBE) for a relaxed structure of Sr3CdHg.

abc: 11.5191 11.5191 5.7520
angles: 90.00 90.00 151.08
Positions (direct):
Sr (0.0730, 0.9270, 0.7500)
Sr (0.2499, 0.7501, 0.7500)
Sr (0.4266, 0.5734, 0.7500)
Sr (0.5734, 0.4266, 0.2500)
Sr (0.7501, 0.2499, 0.2500)
Sr (0.9270, 0.0730, 0.2500)
Cd (0.1583, 0.8417, 0.2500)
Cd (0.8417, 0.1583, 0.7500)
Hg (0.3428, 0.6572, 0.2500)
Hg (0.6572, 0.3428, 0.7500)

- SG: Cmcm
- E above lowest polymorph: 0 meV per atom
- Density of states at the Fermi level: 3.74 states/eV/f.u.
- ΔH_f (0 K): -0.357 eV per atom
- VASP energy: -16.1 eV/cell

***

No. 14
Density functional theory data (GGA-PBE) for a relaxed structure of ErTm12Pb3.

abc: 4.8241 4.8241 19.5380
angles: 90.00 90.00 90.00
Positions (direct):
Er (0.0000, 0.0000, 0.0000)
Tm (0.0000, 0.5000, 0.1286)
Tm (0.0000, 0.5000, 0.3777)
Tm (0.0000, 0.5000, 0.6223)
Tm (0.0000, 0.5000, 0.8714)
Tm (0.5000, 0.0000, 0.1286)
Tm (0.5000, 0.0000, 0.3777)
Tm (0.5000, 0.0000, 0.6223)
Tm (0.5000, 0.0000, 0.8714)
Tm (0.5000, 0.5000, 0.0000)
Tm (0.5000, 0.5000, 0.2553)
Tm (0.5000, 0.5000, 0.5000)
Tm (0.5000, 0.5000, 0.7447)
Pb (0.0000, 0.0000, 0.2539)
Pb (0.0000, 0.0000, 0.5000)
Pb (0.0000, 0.0000, 0.7461)

- SG: P4/mmm
- Density of states at the Fermi level: 20.28 states/eV/f.u.
- ΔH_f (0 K): -0.178 eV per atom
- VASP energy: -72.2 eV/cell

***

No. 15
Density functional theory data (GGA-PBE) for a relaxed structure of Y5Ho2ErSc.

abc: 11.0357 11.0357 9.5427
angles: 90.00 90.00 150.61
Positions (direct):
Y (0.0146, 0.9854, 0.5000)
Y (0.1422, 0.8578, 0.8111)
Y (0.1957, 0.8043, 0.4848)
Y (0.2593, 0.7407, 0.1601)
Y (0.4729, 0.5271, 0.7661)
Y (0.5271, 0.4729, 0.2661)
Y (0.7407, 0.2593, 0.6601)
Y (0.8043, 0.1957, 0.9848)
Y (0.8578, 0.1422, 0.3111)
Y (0.9854, 0.0146, 0.0000)
Ho (0.3913, 0.6087, 0.4717)
Ho (0.3977, 0.6023, 0.0848)
Ho (0.6023, 0.3977, 0.5848)
Ho (0.6087, 0.3913, 0.9717)
Er (0.1113, 0.8887, 0.1913)
Er (0.8887, 0.1113, 0.6913)
Sc (0.3122, 0.6878, 0.7889)
Sc (0.6878, 0.3122, 0.2889)

- SG: Cmc2_1
- Density of states at the Fermi level: 15.69 states/eV/f.u.
- ΔH_f (0 K): 0.159 eV per atom
- VASP energy: -101.9 eV/cell

***

No. 16
Density functional theory data (GGA-PBE) for a relaxed structure of AcPrY.

abc: 3.7812 3.7812 9.1334
angles: 90.00 90.00 120.00
Positions (direct):
Ac (0.0000, 0.0000, 0.0000)
Pr (0.3333, 0.6667, 0.6516)
Y (0.6667, 0.3333, 0.3340)

- SG: P3m1
- E above lowest polymorph: 10 meV per atom
- Density of states at the Fermi level: 4.69 states/eV/f.u.
- ΔH_f (0 K): 0.042 eV per atom
- VASP energy: -15.2 eV/cell